## BaFeO2F (PBE with a Hubbard U)

Data for a geometry-optimized BaFeO2F structure.

Cell: 4.796 4.796 4.863 Å, 90.00 90.00 90.00°
Atoms (fractional coordinates):
Ba  0.000  0.000  0.000
Fe  0.500  0.500  0.500
O  0.000  0.500  0.000
O  0.500  0.000  0.000
F  0.000  0.000  0.500

Output
Electronic total energy   -4.534 eV/atom